#i
A plane-wave DFT calculation with PBE was carried out for a relaxed GdZrPb crystal.

Output
Magnetic moment in μB per atom: 2.8282
Density of states at the Fermi level in states/eV per cell: 4.7

Unit cell a=3.4008 b=5.2858 c=5.2858 alpha=120.00 beta=90.00 gamma=90.00
Site moments in Bohr magnetons follow the coordinates.
Fractional positions:
Pb 0.8364 0.6667 0.3333  -0.04
Gd 0.3327 0.3333 0.6667  7.30
Zr 0.8308 0.0000 0.0000  0.51

***

#ii
A plane-wave DFT calculation with PBE was carried out for a relaxed GdZrPb crystal.

Output
Magnetic moment in μB per atom: 2.6847
Density of states at the Fermi level in states/eV per cell: 3.7

Unit cell a=3.1725 b=3.1725 c=9.0189 alpha=100.13 beta=100.13 gamma=90.00
Site moments in Bohr magnetons follow the coordinates.
Fractional positions:
Pb 0.7668 0.7668 0.5336  -0.01
Gd 0.9503 0.9503 0.9006  7.52
Zr 0.1329 0.1329 0.2659  0.09

***

On energetic grounds, #i is preferred over the next structure by 38.0 kJ/mol of atoms.

***

#i
A plane-wave DFT calculation with PBE was carried out for a relaxed GdZrPb2 crystal.

Output
Magnetic moment in μB per atom: 1.8310
Density of states at the Fermi level in states/eV per cell: 4.7

Unit cell a=4.4323 b=4.8622 c=4.8622 alpha=90.00 beta=90.00 gamma=90.00
Site moments in Bohr magnetons follow the coordinates.
Fractional positions:
Pb 0.0000 0.0000 0.5000  -0.02
Pb 0.0000 0.5000 0.0000  -0.02
Gd 0.5000 0.5000 0.5000  7.06
Zr 0.5000 0.0000 0.0000  0.12

***

#ii
A plane-wave DFT calculation with PBE was carried out for a relaxed GdZrPb2 crystal.

Output
Magnetic moment in μB per atom: 1.8104
Density of states at the Fermi level in states/eV per cell: 3.6

Unit cell a=3.9632 b=3.9632 c=6.7313 alpha=90.00 beta=90.00 gamma=90.00
Site moments in Bohr magnetons follow the coordinates.
Fractional positions:
Pb 0.0000 0.0000 0.7689  -0.01
Pb 0.0000 0.0000 0.2311  -0.01
Gd 0.5000 0.5000 0.5000  7.11
Zr 0.5000 0.5000 0.0000  -0.04

***

On energetic grounds, #ii is preferred over the next structure by 2.7 kJ/mol of atoms.

***

#i
A plane-wave DFT calculation with PBE was carried out for a relaxed Gd2ZrPb crystal.

Output
Magnetic moment in μB per atom: 3.6485
Density of states at the Fermi level in states/eV per cell: 5.2

Unit cell a=4.7724 b=4.7414 c=4.7414 alpha=90.00 beta=90.00 gamma=90.00
Site moments in Bohr magnetons follow the coordinates.
Fractional positions:
Pb 0.5000 0.0000 0.0000  -0.04
Gd 0.0000 0.0000 0.5000  7.14
Gd 0.0000 0.5000 0.0000  7.14
Zr 0.5000 0.5000 0.5000  -0.01

***

#ii
A plane-wave DFT calculation with PBE was carried out for a relaxed Gd2ZrPb crystal.

Output
Magnetic moment in μB per atom: 3.6420
Density of states at the Fermi level in states/eV per cell: 5.0

Unit cell a=3.4445 b=3.4445 c=11.9553 alpha=81.72 beta=81.72 gamma=60.00
Site moments in Bohr magnetons follow the coordinates.
Fractional positions:
Pb 0.0000 0.0000 0.0000  0.01
Gd 0.0921 0.0921 0.7236  -7.17
Gd 0.9079 0.9079 0.2764  -7.17
Zr 0.5000 0.5000 0.5000  0.11

***

On energetic grounds, #i is preferred over the next structure by 27.7 kJ/mol of atoms.

***

#i
A plane-wave DFT calculation with PBE was carried out for a relaxed PmGdPd crystal.

Output
Magnetic moment in μB per atom: 2.4391
Density of states at the Fermi level in states/eV per cell: 4.2

Unit cell a=4.9694 b=4.9694 c=4.9694 alpha=60.00 beta=60.00 gamma=60.00
Site moments in Bohr magnetons follow the coordinates.
Fractional positions:
Gd 0.0000 0.0000 0.0000  7.08
Pd 0.2500 0.2500 0.2500  -0.03
Pm 0.5000 0.5000 0.5000  0.07

***

#ii
A plane-wave DFT calculation with PBE was carried out for a relaxed PmGdPd crystal.

Output
Magnetic moment in μB per atom: 2.4216
Density of states at the Fermi level in states/eV per cell: 2.9

Unit cell a=3.9059 b=4.8189 c=4.8189 alpha=120.00 beta=90.00 gamma=90.00
Site moments in Bohr magnetons follow the coordinates.
Fractional positions:
Gd 0.6007 0.6667 0.3333  7.07
Pd 0.3499 0.3333 0.6667  0.00
Pm 0.0494 0.0000 0.0000  0.03

***

#iii
A plane-wave DFT calculation with PBE was carried out for a relaxed PmGdPd crystal.

Output
Magnetic moment in μB per atom: 2.7004
Density of states at the Fermi level in states/eV per cell: 2.4

Unit cell a=3.6397 b=3.6397 c=6.5232 alpha=106.20 beta=106.20 gamma=90.00
Site moments in Bohr magnetons follow the coordinates.
Fractional positions:
Gd 0.0262 0.0262 0.0523  7.26
Pd 0.6637 0.6637 0.3274  0.04
Pm 0.3102 0.3102 0.6203  0.22

***

On energetic grounds, #iii is preferred over the next structure by 8.2 kJ/mol of atoms.

***

#i
A plane-wave DFT calculation with PBE was carried out for a relaxed PmGd2Pd crystal.

Output
Magnetic moment in μB per atom: 3.7056
Density of states at the Fermi level in states/eV per cell: 5.7

Unit cell a=3.6140 b=3.6140 c=8.5797 alpha=90.00 beta=90.00 gamma=90.00
Site moments in Bohr magnetons follow the coordinates.
Fractional positions:
Gd 0.0000 0.0000 0.8033  -7.09
Gd 0.0000 0.0000 0.1967  -7.09
Pd 0.5000 0.5000 0.0000  -0.02
Pm 0.5000 0.5000 0.5000  -0.10

***

#ii
A plane-wave DFT calculation with PBE was carried out for a relaxed PmGd2Pd crystal.

Output
Magnetic moment in μB per atom: 3.6154
Density of states at the Fermi level in states/eV per cell: 4.5

Unit cell a=3.7561 b=3.7561 c=10.0055 alpha=79.18 beta=79.18 gamma=60.00
Site moments in Bohr magnetons follow the coordinates.
Fractional positions:
Gd 0.2685 0.2685 0.1944  7.07
Gd 0.7315 0.7315 0.8056  7.07
Pd 0.0000 0.0000 0.0000  -0.01
Pm 0.5000 0.5000 0.5000  -0.02

***

On energetic grounds, #i is preferred over the next structure by 9.6 kJ/mol of atoms.

***

#i
A plane-wave DFT calculation with PBE was carried out for a relaxed PmGdPd2 crystal.

Output
Magnetic moment in μB per atom: 1.8117
Density of states at the Fermi level in states/eV per cell: 3.4

Unit cell a=5.0507 b=5.0507 c=5.0507 alpha=60.00 beta=60.00 gamma=60.00
Site moments in Bohr magnetons follow the coordinates.
Fractional positions:
Gd 0.5000 0.5000 0.5000  7.04
Pd 0.2500 0.2500 0.2500  0.00
Pd 0.7500 0.7500 0.7500  0.00
Pm 0.0000 0.0000 0.0000  0.03

***

#ii
A plane-wave DFT calculation with PBE was carried out for a relaxed PmGdPd2 crystal.

Output
Magnetic moment in μB per atom: 1.7869
Density of states at the Fermi level in states/eV per cell: 2.6

Unit cell a=4.1496 b=4.1496 c=7.2003 alpha=73.25 beta=73.25 gamma=60.00
Site moments in Bohr magnetons follow the coordinates.
Fractional positions:
Gd 0.5000 0.5000 0.5000  7.00
Pd 0.7519 0.7519 0.7443  0.00
Pd 0.2481 0.2481 0.2557  0.00
Pm 0.0000 0.0000 0.0000  0.00

***

On energetic grounds, #i is preferred over the next structure by 9.3 kJ/mol of atoms.

***

#i
A plane-wave DFT calculation with PBE was carried out for a relaxed PrGd2Pd crystal.

Output
Magnetic moment in μB per atom: 3.9903
Density of states at the Fermi level in states/eV per cell: 4.8

Unit cell a=5.2918 b=5.2918 c=5.2878 alpha=59.97 beta=59.97 gamma=60.00
Site moments in Bohr magnetons follow the coordinates.
Fractional positions:
Pr 0.5000 0.5000 0.5000  0.46
Gd 0.2499 0.2499 0.2502  7.32
Gd 0.7501 0.7501 0.7498  7.32
Pd 0.0000 0.0000 0.0000  0.01

***

#ii
A plane-wave DFT calculation with PBE was carried out for a relaxed PrGd2Pd crystal.

Output
Magnetic moment in μB per atom: 3.6860
Density of states at the Fermi level in states/eV per cell: 5.7

Unit cell a=3.6187 b=3.6187 c=8.6700 alpha=90.00 beta=90.00 gamma=90.00
Site moments in Bohr magnetons follow the coordinates.
Fractional positions:
Pr 0.5000 0.5000 0.5000  0.07
Gd 0.0000 0.0000 0.8059  7.08
Gd 0.0000 0.0000 0.1941  7.08
Pd 0.5000 0.5000 0.0000  0.01

***

On energetic grounds, #ii is preferred over the next structure by 24.3 kJ/mol of atoms.

***

#i
A plane-wave DFT calculation with PBE was carried out for a relaxed GdPd2Pt crystal.

Output
Magnetic moment in μB per atom: 1.7888
Density of states at the Fermi level in states/eV per cell: 3.9

Unit cell a=4.1222 b=4.1599 c=4.1599 alpha=90.00 beta=90.00 gamma=90.00
Site moments in Bohr magnetons follow the coordinates.
Fractional positions:
Gd 0.5000 0.0000 0.0000  6.99
Pd 0.0000 0.0000 0.5000  0.01
Pd 0.0000 0.5000 0.0000  0.01
Pt 0.5000 0.5000 0.5000  0.02

***

#ii
A plane-wave DFT calculation with PBE was carried out for a relaxed GdPd2Pt crystal.

Output
Magnetic moment in μB per atom: 1.7730
Density of states at the Fermi level in states/eV per cell: 1.5

Unit cell a=4.6908 b=4.6908 c=4.6908 alpha=60.00 beta=60.00 gamma=60.00
Site moments in Bohr magnetons follow the coordinates.
Fractional positions:
Gd 0.0000 0.0000 0.0000  -6.97
Pd 0.2500 0.2500 0.2500  -0.01
Pd 0.7500 0.7500 0.7500  -0.01
Pt 0.5000 0.5000 0.5000  0.00

***

On energetic grounds, #i is preferred over the next structure by 15.9 kJ/mol of atoms.